Entry from the Alexandria database: a geometry-optimized Pu2CdPdO8 structure (PBE).

```
Pu2CdPdO8
1.0
5.625 0.000 0.000
-2.812 4.871 0.000
0.000 0.000 5.916
O Pu Cd Pd
8 2 1 1
Direct
0.262 0.925 0.178
0.075 0.337 0.178
0.663 0.738 0.178
0.333 0.667 0.567
0.667 0.333 0.433
0.925 0.663 0.822
0.738 0.075 0.822
0.337 0.262 0.822
0.333 0.667 0.877
0.667 0.333 0.123
0.000 0.000 0.500
0.000 0.000 0.000
```

space-group type = No. 147
DFT total energy = -7.736 eV/atom
formation energy (no corrections) = -1.533 eV/atom
DOS(E_F) = 5.4 states/eV per cell